1.
This record from Alexandria describes a relaxed structure of Cs2HgPtBr. The functional is PBE.

The structure belongs to space group P4/mmm (No. 123); the cell edges are 6.584, 6.584 and 5.238 Å and the angles 90.00°, 90.00° and 90.00°. The inequivalent atoms are Cs at (0.000, 0.500, 0.000), Hg at (0.000, 0.000, 0.500), Pt at (0.000, 0.000, 0.000) and Br at (0.500, 0.500, 0.500).

Its final energy is -2.603 eV per atom. The raw formation energy is -0.6587 eV/atom. Its crystal system is tetragonal.

2.
This record from Alexandria describes a relaxed structure of CsPuHgBr3. The functional is PBE.

The structure belongs to space group Cmcm (No. 63); the cell edges are 10.655, 14.680 and 7.710 Å and the angles 90.00°, 90.00° and 90.00°. The inequivalent atoms are Cs at (0.000, 0.247, 0.250), Pu at (0.000, 0.057, 0.750), Hg at (0.000, 0.495, 0.750), Br at (0.000, 0.250, 0.750) and Br at (0.189, 0.000, 0.000).

Its final energy is -4.609 eV per atom. The raw formation energy is -1.1911 eV/atom. Its crystal system is orthorhombic.

3.
This record from Alexandria describes a relaxed structure of CsPu3Hg2Br12. The functional is PBE.

The structure belongs to space group R-3m (No. 166, hexagonal axes); the cell edges are 10.7750, 10.7750 and 22.5185 Å and the angles 90.00°, 90.00° and 120.00°. The inequivalent atoms are Cs at (0.0000, 0.0000, 0.0000), Pu at (0.0000, 0.5000, 0.5000), Hg at (0.0000, 0.0000, 0.4189), Br at (0.0685, 0.5342, 0.3838) and Br at (0.0801, 0.5400, 0.8074).

Its final energy is -4.817 eV per atom. The raw formation energy is -1.2319 eV/atom. Its crystal system is trigonal.

4.
This record from Alexandria describes a relaxed structure of Cs3PuHg2Br9. The functional is PBE.

The structure belongs to space group P-3m1 (No. 164); the cell edges are 8.2486, 8.2486 and 10.0658 Å and the angles 90.00°, 90.00° and 120.00°. The inequivalent atoms are Cs at (0.0000, 0.0000, 0.0000), Cs at (0.3333, 0.6667, 0.6821), Pu at (0.0000, 0.0000, 0.5000), Hg at (0.3333, 0.6667, 0.1492), Br at (0.0000, 0.5000, 0.0000) and Br at (0.1640, 0.3281, 0.3398).

Its final energy is -3.434 eV per atom. The raw formation energy is -1.2634 eV/atom. Its crystal system is trigonal.

- Number 2 is which compound?
  CsPuHgBr3